Record 1
Ca5Zn2Hg2: optimized geometry, PBE.

```
data_Ca5Zn2Hg2
_cell_length_a 16.7220
_cell_length_b 7.9149
_cell_length_c 7.9493
_cell_angle_alpha 90.00
_cell_angle_beta 90.00
_cell_angle_gamma 90.00
_symmetry_space_group_name_H-M 'C m c e'
_symmetry_Int_Tables_number 64
_symmetry_space_group_name_Hall '-C 2ac 2'
loop_
_atom_site_label
_atom_site_fract_x
_atom_site_fract_y
_atom_site_fract_z
Ca1 0.0000 0.0000 0.0000
Ca2 0.1382 0.1769 0.3262
Zn1 0.0000 0.1133 0.6149
Hg1 0.2088 0.0000 0.0000
```

Results
crystal system	orthorhombic
volume	1052.1	Å³ per cell
total moment	0.00	μB per atom
ΔE_f	-0.335	eV per atom

Record 2
Pr4SmHo2: optimized geometry, PBE.

```
data_Pr4SmHo2
_cell_length_a 6.2545
_cell_length_b 6.7145
_cell_length_c 11.8278
_cell_angle_alpha 90.00
_cell_angle_beta 104.89
_cell_angle_gamma 90.00
_symmetry_space_group_name_H-M 'P 1 21/m 1'
_symmetry_Int_Tables_number 11
_symmetry_space_group_name_Hall '-P 2yb'
loop_
_atom_site_label
_atom_site_fract_x
_atom_site_fract_y
_atom_site_fract_z
Pr1 0.0247 0.2500 0.3589
Pr2 0.1498 0.2500 0.9474
Pr3 0.3543 0.5066 0.2146
Sm1 0.1539 0.2500 0.6585
Ho1 0.2899 0.7500 0.9290
Ho2 0.3990 0.7500 0.5026
```

Results
energy above the lowest structure with this stoichiometry	58	meV/atom
crystal system	monoclinic
volume	480.0	Å³ per cell
total moment	0.00	μB per atom
ΔE_f	0.121	eV per atom

Record 3
CaZrS2F: optimized geometry, PBE.

```
data_CaZrS2F
_cell_length_a 3.7408
_cell_length_b 3.7408
_cell_length_c 13.2102
_cell_angle_alpha 90.00
_cell_angle_beta 90.00
_cell_angle_gamma 90.00
_symmetry_space_group_name_H-M 'P 4/n m m'
_symmetry_Int_Tables_number 129
loop_
_symmetry_equiv_pos_as_xyz
'x,y,z'
'-x,-y,-z'
'-y+1/2,x,z'
'y+1/2,-x,-z'
'-x+1/2,-y+1/2,z'
'x+1/2,y+1/2,-z'
'y,-x+1/2,z'
'-y,x+1/2,-z'
'x+1/2,-y,-z'
'-x+1/2,y,z'
'-y,-x,-z'
'y,x,z'
'-x,y+1/2,-z'
'x,-y+1/2,z'
'y+1/2,x+1/2,-z'
'-y+1/2,-x+1/2,z'
loop_
_atom_site_label
_atom_site_fract_x
_atom_site_fract_y
_atom_site_fract_z
Ca1 0.2500 0.2500 0.1055
Zr1 0.2500 0.2500 0.6054
S1 0.2500 0.2500 0.3979
S2 0.2500 0.2500 0.7902
F1 0.2500 0.7500 0.0000
```

Results
calculated total energy	-6.4481	eV per atom
crystal system	tetragonal
volume	184.9	Å³ per cell
total moment	0.00	μB per atom

Record 4
Hf4TiH8: optimized geometry, PBE.

```
data_Hf4TiH8
_cell_length_a 5.0203
_cell_length_b 5.0203
_cell_length_c 5.0203
_cell_angle_alpha 90.00
_cell_angle_beta 90.00
_cell_angle_gamma 90.00
_symmetry_space_group_name_H-M 'P m -3 m'
_symmetry_Int_Tables_number 221
_symmetry_space_group_name_Hall '-P 4 2 3'
loop_
_atom_site_label
_atom_site_fract_x
_atom_site_fract_y
_atom_site_fract_z
Hf1 0.0000 0.0000 0.0000
Hf2 0.0000 0.5000 0.5000
Ti1 0.5000 0.5000 0.5000
H1 0.2489 0.2489 0.2489
```

Results
calculated total energy	-5.7680	eV per atom
crystal system	cubic
volume	126.5	Å³ per cell
total moment	0.00	μB per atom

Record 5
LaHAu3: optimized geometry, PBE.

```
data_LaHAu3
_cell_length_a 5.8314
_cell_length_b 5.8314
_cell_length_c 5.8314
_cell_angle_alpha 90.00
_cell_angle_beta 90.00
_cell_angle_gamma 90.00
_symmetry_space_group_name_H-M 'P m -3 m'
_symmetry_Int_Tables_number 221
_symmetry_space_group_name_Hall '-P 4 2 3'
loop_
_atom_site_label
_atom_site_fract_x
_atom_site_fract_y
_atom_site_fract_z
La1 0.0000 0.0000 0.0000
H1 0.5000 0.5000 0.5000
Au1 0.0000 0.0000 0.5000
```

Results
energy above the lowest structure with this stoichiometry	828	meV/atom
crystal system	cubic
volume	198.3	Å³ per cell
total moment	0.20	μB per atom

Record 6
ThUN2: optimized geometry, PBE.

```
data_ThUN2
_cell_length_a 3.0704
_cell_length_b 3.0704
_cell_length_c 6.1454
_cell_angle_alpha 90.00
_cell_angle_beta 90.00
_cell_angle_gamma 90.00
_symmetry_space_group_name_H-M 'P 4/m m m'
_symmetry_Int_Tables_number 123
_symmetry_space_group_name_Hall '-P 4 2'
loop_
_atom_site_label
_atom_site_fract_x
_atom_site_fract_y
_atom_site_fract_z
Th1 0.0000 0.0000 0.0000
U1 0.0000 0.0000 0.5000
N1 0.5000 0.5000 0.2557
```

Results
calculated total energy	-9.4434	eV per atom
crystal system	tetragonal
volume	57.9	Å³ per cell
total moment	0.60	μB per atom

Record 7
RbHg2Ru: optimized geometry, PBE.

```
data_RbHg2Ru
_cell_length_a 6.0541
_cell_length_b 6.0541
_cell_length_c 17.0764
_cell_angle_alpha 90.00
_cell_angle_beta 90.00
_cell_angle_gamma 90.00
_symmetry_space_group_name_H-M 'I -4 2 d'
_symmetry_Int_Tables_number 122
_symmetry_space_group_name_Hall 'I -4 2bw'
loop_
_atom_site_label
_atom_site_fract_x
_atom_site_fract_y
_atom_site_fract_z
Rb1 0.0000 0.0000 0.0000
Hg1 0.0507 0.2500 0.6250
Ru1 0.0000 0.0000 0.5000
```

Results
crystal system	tetragonal
volume	625.9	Å³ per cell
total moment	0.24	μB per atom
ΔE_f	0.568	eV per atom

Record 8
LiTc2Br: optimized geometry, PBE.

```
data_LiTc2Br
_cell_length_a 3.4521
_cell_length_b 3.4521
_cell_length_c 16.1251
_cell_angle_alpha 90.00
_cell_angle_beta 90.00
_cell_angle_gamma 90.00
_symmetry_space_group_name_H-M 'I 4/m m m'
_symmetry_Int_Tables_number 139
_symmetry_space_group_name_Hall '-I 4 2'
loop_
_atom_site_label
_atom_site_fract_x
_atom_site_fract_y
_atom_site_fract_z
Li1 0.0000 0.0000 0.0000
Tc1 0.0000 0.5000 0.2500
Br1 0.0000 0.0000 0.5000
```

Results
energy above the lowest structure with this stoichiometry	424	meV/atom
crystal system	tetragonal
volume	192.2	Å³ per cell
total moment	0.00	μB per atom